(1)
An optimized crystal structure of SrCaAg, computed with PBE-GGA.

It has space group Cmcm (No. 63), with a = 3.938 Å, b = 17.881 Å, c = 5.849 Å, α = 90.00°, β = 90.00° and γ = 90.00°. The inequivalent atoms are Sr at (0.000, 0.075, 0.250), Ca at (0.000, 0.215, 0.750) and Ag at (0.000, 0.421, 0.250).

As for the crystal system: orthorhombic. As for the density of states at the Fermi level: 0.91 states/eV per atom. The distance to the lowest polymorph of the same formula is 57 meV/atom. The value obtained for the final energy is -2.35 eV per atom.

=====

(2)
An optimized crystal structure of CeNd3Pd12, computed with PBE-GGA.

It has space group P4/mmm (No. 123), with a = 4.188 Å, b = 4.188 Å, c = 16.740 Å, α = 90.00°, β = 90.00° and γ = 90.00°. The inequivalent atoms are Ce at (0.000, 0.000, 0.000), Nd at (0.000, 0.000, 0.250), Nd at (0.000, 0.000, 0.500), Pd at (0.000, 0.500, 0.120), Pd at (0.000, 0.500, 0.374), Pd at (0.500, 0.500, 0.000), Pd at (0.500, 0.500, 0.247) and Pd at (0.500, 0.500, 0.500).

As for the crystal system: tetragonal. As for the density of states at the Fermi level: 0.40 states/eV per atom. The value obtained for the final energy is -5.96 eV per atom.

=====

(3)
An optimized crystal structure of KBa2NaTl, computed with PBE-GGA.

It has space group P4/mmm (No. 123), with a = 6.756 Å, b = 6.756 Å, c = 6.860 Å, α = 90.00°, β = 90.00° and γ = 90.00°. The inequivalent atoms are K at (0.000, 0.000, 0.000), Ba at (0.000, 0.500, 0.500), Na at (0.500, 0.500, 0.000) and Tl at (0.000, 0.000, 0.500).

As for the crystal system: tetragonal. As for the density of states at the Fermi level: 0.68 states/eV per atom. The distance to the lowest polymorph of the same formula is 29 meV/atom. The value obtained for the final energy is -1.71 eV per atom.

=====

For the records above, the corresponding formation energy values read -0.173; -0.796; 0.011 eV/atom.